--- one ---
# PBE Dy12Er5Sc2, optimized geometry
# theoretical density: 8.1 Mg/m³
# space-group type: C2/m (12)
# magnetic moment: 0.0 μB/cell
data_Dy12Er5Sc2
_symmetry_space_group_name_H-M 'P 1'
_symmetry_Int_Tables_number 1
_cell_length_a 9.0725
_cell_length_b 8.9323
_cell_length_c 8.4635
_cell_angle_alpha 91.85
_cell_angle_beta 90.00
_cell_angle_gamma 120.52
loop_
_symmetry_equiv_pos_as_xyz
'x,y,z'
loop_
_atom_site_label
_atom_site_type_symbol
_atom_site_fract_x
_atom_site_fract_y
_atom_site_fract_z
_atom_site_occupancy
Dy1 Dy 0.9664 0.2971 0.2353 1
Dy2 Dy 0.5570 0.1141 0.3370 1
Dy3 Dy 0.4342 0.2578 0.6785 1
Dy4 Dy 0.3307 0.2971 0.2353 1
Dy5 Dy 0.6693 0.7029 0.7647 1
Dy6 Dy 0.8236 0.2578 0.6785 1
Dy7 Dy 0.0777 0.1554 0.8792 1
Dy8 Dy 0.9223 0.8446 0.1208 1
Dy9 Dy 0.0336 0.7029 0.7647 1
Dy10 Dy 0.1764 0.7422 0.3215 1
Dy11 Dy 0.5658 0.7422 0.3215 1
Dy12 Dy 0.4430 0.8859 0.6630 1
Er1 Er 0.7023 0.4047 0.0234 1
Er2 Er 0.2977 0.5953 0.9766 1
Er3 Er 0.0000 0.0000 0.5000 1
Er4 Er 0.7685 0.5370 0.4312 1
Er5 Er 0.2315 0.4630 0.5688 1
Sc1 Sc 0.6680 0.0000 0.0000 1
Sc2 Sc 0.3320 0.0000 0.0000 1

--- two ---
# PBE Dy12Er5Sc2, optimized geometry
# theoretical density: 7.9 Mg/m³
# space-group type: C2/m (12)
# magnetic moment: 0.0 μB/cell
data_Dy12Er5Sc2
_symmetry_space_group_name_H-M 'P 1'
_symmetry_Int_Tables_number 1
_cell_length_a 9.1379
_cell_length_b 9.1379
_cell_length_c 10.9782
_cell_angle_alpha 72.09
_cell_angle_beta 72.09
_cell_angle_gamma 44.70
loop_
_symmetry_equiv_pos_as_xyz
'x,y,z'
loop_
_atom_site_label
_atom_site_type_symbol
_atom_site_fract_x
_atom_site_fract_y
_atom_site_fract_z
_atom_site_occupancy
Dy1 Dy 0.0531 0.5464 0.1009 1
Dy2 Dy 0.0515 0.5684 0.5936 1
Dy3 Dy 0.4536 0.9469 0.8991 1
Dy4 Dy 0.5684 0.0515 0.5936 1
Dy5 Dy 0.8915 0.8915 0.8235 1
Dy6 Dy 0.5464 0.0531 0.1009 1
Dy7 Dy 0.6118 0.6118 0.7018 1
Dy8 Dy 0.9485 0.4316 0.4064 1
Dy9 Dy 0.4316 0.9485 0.4064 1
Dy10 Dy 0.1085 0.1085 0.1765 1
Dy11 Dy 0.3882 0.3882 0.2982 1
Dy12 Dy 0.9469 0.4536 0.8991 1
Er1 Er 0.1166 0.1166 0.7089 1
Er2 Er 0.3940 0.3940 0.8093 1
Er3 Er 0.8834 0.8834 0.2911 1
Er4 Er 0.0000 0.0000 0.5000 1
Er5 Er 0.6060 0.6060 0.1907 1
Sc1 Sc 0.2598 0.7402 0.0000 1
Sc2 Sc 0.7402 0.2598 0.0000 1

Stability summary - winner: one; margin: 3.3 kJ/mol of atoms.